No. 1
# Pr5Dy12Tm2, optimized geometry, DFT GGA-PBE
data_Pr5Dy12Tm2
_chemical_formula_sum 'Pr5 Dy12 Tm2'
_cell_length_a 9.083
_cell_length_b 10.030
_cell_length_c 8.699
_cell_angle_alpha 67.31
_cell_angle_beta 90.00
_cell_angle_gamma 116.92
_symmetry_space_group_name_H-M 'P 1'
_symmetry_Int_Tables_number 1
loop_
_symmetry_equiv_pos_as_xyz
'x,y,z'
loop_
_atom_site_label
_atom_site_fract_x
_atom_site_fract_y
_atom_site_fract_z
Dy1 0.559 0.118 0.285
Dy2 0.045 0.091 0.818
Dy3 0.041 0.711 0.905
Dy4 0.669 0.711 0.905
Dy5 0.955 0.909 0.182
Dy6 0.404 0.253 0.545
Dy7 0.331 0.289 0.095
Dy8 0.441 0.882 0.715
Dy9 0.596 0.747 0.455
Dy10 0.151 0.747 0.455
Dy11 0.959 0.289 0.095
Dy12 0.849 0.253 0.545
Pr1 0.710 0.420 0.779
Pr2 0.290 0.580 0.221
Pr3 0.000 0.000 0.500
Pr4 0.237 0.473 0.708
Pr5 0.763 0.527 0.292
Tm1 0.327 0.000 0.000
Tm2 0.673 0.000 0.000
# Energy of formation from the pure elements in eV per formula unit: 4.0
# Total magnetization in μB/cell: 0.00



No. 2
# Pr2DyTm6, optimized geometry, DFT GGA-PBE
data_Pr2DyTm6
_chemical_formula_sum 'Pr4 Dy2 Tm12'
_cell_length_a 9.042
_cell_length_b 8.854
_cell_length_c 8.854
_cell_angle_alpha 82.50
_cell_angle_beta 64.01
_cell_angle_gamma 64.01
_symmetry_space_group_name_H-M 'P 1'
_symmetry_Int_Tables_number 1
loop_
_symmetry_equiv_pos_as_xyz
'x,y,z'
loop_
_atom_site_label
_atom_site_fract_x
_atom_site_fract_y
_atom_site_fract_z
Tm1 0.041 0.665 0.403
Tm2 0.959 0.335 0.597
Tm3 0.685 0.994 0.812
Tm4 0.541 0.403 0.665
Tm5 0.361 0.390 0.062
Tm6 0.185 0.812 0.994
Tm7 0.815 0.188 0.006
Tm8 0.639 0.610 0.938
Tm9 0.459 0.597 0.335
Tm10 0.139 0.938 0.610
Tm11 0.861 0.062 0.390
Tm12 0.315 0.006 0.188
Pr1 0.434 0.217 0.401
Pr2 0.566 0.783 0.599
Pr3 0.934 0.401 0.217
Pr4 0.066 0.599 0.783
Dy1 0.750 0.828 0.172
Dy2 0.250 0.172 0.828
# Distance to the lowest polymorph of the same formula in meV per atom: 0
# Energy of formation from the pure elements in eV per formula unit: 0.7
# Total magnetization in μB/cell: 0.00



No. 3
# Pr3Dy4Tm2, optimized geometry, DFT GGA-PBE
data_Pr3Dy4Tm2
_chemical_formula_sum 'Pr3 Dy4 Tm2'
_cell_length_a 5.076
_cell_length_b 8.034
_cell_length_c 14.817
_cell_angle_alpha 144.52
_cell_angle_beta 90.00
_cell_angle_gamma 108.41
_symmetry_space_group_name_H-M 'P 1'
_symmetry_Int_Tables_number 1
loop_
_symmetry_equiv_pos_as_xyz
'x,y,z'
loop_
_atom_site_label
_atom_site_fract_x
_atom_site_fract_y
_atom_site_fract_z
Tm1 0.777 0.553 0.333
Tm2 0.223 0.447 0.667
Dy1 0.889 0.778 0.667
Dy2 0.666 0.332 0.999
Dy3 0.111 0.222 0.333
Dy4 0.334 0.668 0.001
Pr1 0.000 0.000 0.000
Pr2 0.447 0.894 0.335
Pr3 0.553 0.106 0.665
# Distance to the lowest polymorph of the same formula in meV per atom: 0
# Energy of formation from the pure elements in eV per formula unit: 0.2
# Total magnetization in μB/cell: 0.00



No. 4
# Pr2Dy5Tm12, optimized geometry, DFT GGA-PBE
data_Pr2Dy5Tm12
_chemical_formula_sum 'Pr2 Dy5 Tm12'
_cell_length_a 6.477
_cell_length_b 12.134
_cell_length_c 13.196
_cell_angle_alpha 139.92
_cell_angle_beta 89.25
_cell_angle_gamma 107.49
_symmetry_space_group_name_H-M 'P 1'
_symmetry_Int_Tables_number 1
loop_
_symmetry_equiv_pos_as_xyz
'x,y,z'
loop_
_atom_site_label
_atom_site_fract_x
_atom_site_fract_y
_atom_site_fract_z
Tm1 0.437 0.394 0.653
Tm2 0.784 0.944 0.759
Tm3 0.563 0.606 0.347
Tm4 0.178 0.787 0.535
Tm5 0.216 0.056 0.241
Tm6 0.019 0.294 0.177
Tm7 0.862 0.461 0.094
Tm8 0.718 0.675 0.055
Tm9 0.981 0.706 0.823
Tm10 0.822 0.213 0.465
Tm11 0.282 0.325 0.945
Tm12 0.138 0.539 0.906
Dy1 0.612 0.187 0.701
Dy2 0.277 0.545 0.557
Dy3 0.000 0.000 0.500
Dy4 0.388 0.813 0.299
Dy5 0.723 0.455 0.443
Pr1 0.609 0.895 0.008
Pr2 0.391 0.105 0.992
# Distance to the lowest polymorph of the same formula in meV per atom: 0
# Energy of formation from the pure elements in eV per formula unit: 1.8
# Total magnetization in μB/cell: 0.00



No. 5
# PrDy6Tm5, optimized geometry, DFT GGA-PBE
data_PrDy6Tm5
_chemical_formula_sum 'Pr1 Dy6 Tm5'
_cell_length_a 4.990
_cell_length_b 7.905
_cell_length_c 10.001
_cell_angle_alpha 90.00
_cell_angle_beta 90.00
_cell_angle_gamma 71.53
_symmetry_space_group_name_H-M 'P 1'
_symmetry_Int_Tables_number 1
loop_
_symmetry_equiv_pos_as_xyz
'x,y,z'
loop_
_atom_site_label
_atom_site_fract_x
_atom_site_fract_y
_atom_site_fract_z
Pr1 0.000 0.000 0.000
Dy1 0.167 0.666 0.748
Dy2 0.500 0.000 0.747
Dy3 0.167 0.666 0.252
Dy4 0.833 0.334 0.252
Dy5 0.500 0.000 0.253
Dy6 0.833 0.334 0.748
Tm1 0.668 0.663 0.000
Tm2 0.332 0.337 0.000
Tm3 0.000 0.000 0.500
Tm4 0.333 0.333 0.500
Tm5 0.667 0.667 0.500
# Energy of formation from the pure elements in eV per formula unit: 0.3
# Total magnetization in μB/cell: 0.00



No. 6
# Pr6DyTm3, optimized geometry, DFT GGA-PBE
data_Pr6DyTm3
_chemical_formula_sum 'Pr12 Dy2 Tm6'
_cell_length_a 6.459
_cell_length_b 11.819
_cell_length_c 11.819
_cell_angle_alpha 130.70
_cell_angle_beta 90.00
_cell_angle_gamma 90.00
_symmetry_space_group_name_H-M 'P 1'
_symmetry_Int_Tables_number 1
loop_
_symmetry_equiv_pos_as_xyz
'x,y,z'
loop_
_atom_site_label
_atom_site_fract_x
_atom_site_fract_y
_atom_site_fract_z
Tm1 0.492 0.292 0.043
Tm2 0.992 0.043 0.292
Tm3 0.592 0.580 0.420
Tm4 0.992 0.708 0.957
Tm5 0.492 0.957 0.708
Tm6 0.092 0.420 0.580
Pr1 0.073 0.380 0.260
Pr2 0.320 0.455 0.894
Pr3 0.800 0.300 0.700
Pr4 0.573 0.260 0.380
Pr5 0.807 0.016 0.984
Pr6 0.320 0.106 0.545
Pr7 0.307 0.984 0.016
Pr8 0.820 0.894 0.455
Pr9 0.820 0.545 0.106
Pr10 0.573 0.620 0.740
Pr11 0.300 0.700 0.300
Pr12 0.073 0.740 0.620
Dy1 0.016 0.156 0.844
Dy2 0.516 0.844 0.156
# Energy of formation from the pure elements in eV per formula unit: 1.3
# Total magnetization in μB/cell: 0.00



No. 7
# Pr4Dy5Tm4, optimized geometry, DFT GGA-PBE
data_Pr4Dy5Tm4
_chemical_formula_sum 'Pr4 Dy5 Tm4'
_cell_length_a 5.053
_cell_length_b 9.476
_cell_length_c 9.476
_cell_angle_alpha 85.92
_cell_angle_beta 74.54
_cell_angle_gamma 74.54
_symmetry_space_group_name_H-M 'P 1'
_symmetry_Int_Tables_number 1
loop_
_symmetry_equiv_pos_as_xyz
'x,y,z'
loop_
_atom_site_label
_atom_site_fract_x
_atom_site_fract_y
_atom_site_fract_z
Pr1 0.381 0.698 0.540
Pr2 0.079 0.540 0.302
Pr3 0.921 0.460 0.698
Pr4 0.619 0.302 0.460
Dy1 0.000 0.000 0.000
Dy2 0.540 0.771 0.149
Dy3 0.311 0.149 0.229
Dy4 0.460 0.229 0.851
Dy5 0.689 0.851 0.771
Tm1 0.847 0.924 0.382
Tm2 0.771 0.382 0.076
Tm3 0.153 0.076 0.618
Tm4 0.229 0.618 0.924
# Energy of formation from the pure elements in eV per formula unit: 0.3
# Total magnetization in μB/cell: 0.00



No. 8
# Pr3Dy5Tm2, optimized geometry, DFT GGA-PBE
data_Pr3Dy5Tm2
_chemical_formula_sum 'Pr6 Dy10 Tm4'
_cell_length_a 9.439
_cell_length_b 9.402
_cell_length_c 11.159
_cell_angle_alpha 124.70
_cell_angle_beta 124.77
_cell_angle_gamma 69.52
_symmetry_space_group_name_H-M 'P 1'
_symmetry_Int_Tables_number 1
loop_
_symmetry_equiv_pos_as_xyz
'x,y,z'
loop_
_atom_site_label
_atom_site_fract_x
_atom_site_fract_y
_atom_site_fract_z
Dy1 0.469 0.719 0.438
Dy2 0.273 0.523 0.045
Dy3 0.373 0.118 0.720
Dy4 0.028 0.778 0.556
Dy5 0.531 0.281 0.562
Dy6 0.627 0.882 0.280
Dy7 0.727 0.477 0.955
Dy8 0.972 0.222 0.444
Dy9 0.847 0.601 0.720
Dy10 0.153 0.399 0.280
Tm1 0.463 0.720 0.730
Tm2 0.537 0.280 0.270
Tm3 0.767 0.010 0.730
Tm4 0.233 0.990 0.270
Pr1 0.018 0.776 0.252
Pr2 0.982 0.224 0.748
Pr3 0.765 0.015 0.030
Pr4 0.733 0.475 0.252
Pr5 0.235 0.985 0.970
Pr6 0.267 0.525 0.748
# Energy of formation from the pure elements in eV per formula unit: 1.9
# Total magnetization in μB/cell: 0.00



No. 9
# Pr2Dy5Tm, optimized geometry, DFT GGA-PBE
data_Pr2Dy5Tm
_chemical_formula_sum 'Pr4 Dy10 Tm2'
_cell_length_a 5.054
_cell_length_b 7.156
_cell_length_c 14.314
_cell_angle_alpha 90.00
_cell_angle_beta 90.00
_cell_angle_gamma 90.00
_symmetry_space_group_name_H-M 'P 1'
_symmetry_Int_Tables_number 1
loop_
_symmetry_equiv_pos_as_xyz
'x,y,z'
loop_
_atom_site_label
_atom_site_fract_x
_atom_site_fract_y
_atom_site_fract_z
Tm1 0.000 0.000 0.500
Tm2 0.000 0.500 0.000
Pr1 0.500 0.249 0.625
Pr2 0.500 0.749 0.875
Pr3 0.500 0.251 0.125
Pr4 0.500 0.751 0.375
Dy1 0.500 0.251 0.375
Dy2 0.000 0.999 0.750
Dy3 0.500 0.751 0.125
Dy4 0.000 0.001 0.250
Dy5 0.000 0.000 0.000
Dy6 0.000 0.500 0.500
Dy7 0.500 0.249 0.875
Dy8 0.000 0.499 0.750
Dy9 0.000 0.501 0.250
Dy10 0.500 0.749 0.625
# Distance to the lowest polymorph of the same formula in meV per atom: 0
# Energy of formation from the pure elements in eV per formula unit: 0.2
# Total magnetization in μB/cell: 0.00



| no. | VASP energy (eV/atom) |
| --- | --- |
| 1 | -4.427 |
| 2 | -4.480 |
| 3 | -4.608 |
| 4 | -4.446 |
| 5 | -4.539 |
| 6 | -4.541 |
| 7 | -4.592 |
| 8 | -4.438 |
| 9 | -4.609 |